Tl2CrF, relaxed, DFT PBE+U; energy above the lowest structure with this stoichiometry = 0 meV per atom; N(E_F) = 3.58 states/eV per cell; mass density = 8.18 g cm⁻³
1.0
7.629 0.000 0.000
0.000 7.629 0.000
0.000 0.000 6.696
Tl Cr F
8 4 4
Direct
0.205 0.250 0.125
0.250 0.705 0.375
0.250 0.795 0.875
0.295 0.250 0.625
0.705 0.750 0.625
0.750 0.205 0.875
0.750 0.295 0.375
0.795 0.750 0.125
0.000 0.000 0.500
0.000 0.500 0.750
0.500 0.000 0.250
0.500 0.500 0.000
0.000 0.000 0.000
0.000 0.500 0.250
0.500 0.000 0.750
0.500 0.500 0.500